This record from Alexandria via LeMat-Bulk describes a relaxed Cr2CdGaO8 crystal. The functional is GGA+U.

```
data_Cr2CdGaO8
_chemical_formula_sum 'Cr4 Cd2 Ga2 O16'
_symmetry_space_group_name_H-M 'I -4 m 2'
_symmetry_Int_Tables_number 119
_symmetry_space_group_name_Hall 'I -4 -2'
_cell_length_a 6.736
_cell_length_b 6.736
_cell_length_c 6.450
_cell_angle_alpha 90.00
_cell_angle_beta 90.00
_cell_angle_gamma 90.00
loop_
_atom_site_label
_atom_site_fract_x
_atom_site_fract_y
_atom_site_fract_z
_atom_site_occupancy
Cr1 0.000 0.000 0.000 1
Cr2 0.000 0.500 0.250 1
Cd1 0.000 0.500 0.750 1
Ga1 0.000 0.000 0.500 1
O1 0.000 0.190 0.838 1
O2 0.000 0.290 0.412 1
```

Properties
VASP energy: -6.02 eV/atom
calculated density: 4.70 Mg/m³
crystal system: tetragonal